Here is a relaxed FeMoAs2 crystal from Alexandria. Energies are from PBE-GGA.

a b c (Å): 3.222 3.901 4.923
angles (deg): 90.00 90.00 90.00
Space group Pmmm (No. 47)
Symmetry-distinct sites (fractional):
Fe1 0.000 0.000 0.000
Mo1 0.500 0.000 0.500
As1 0.000 0.500 0.500
As2 0.500 0.500 0.000

Calculated values
The value obtained for the total energy is -0.5017 Ry per atom. As for the energy above the most stable polymorph in this dataset: 503.1 meV/atom. For the density, the calculation gives 8096 kg/m3.